Record 1
First-principles (PBE-GGA) data for crystalline Pm2SmDyHo at its relaxed geometry, as listed in Alexandria via LeMat-Bulk.

Properties
- total magnetic moment (μB/cell) = 0.000
- energy of formation (kJ per mole of atoms) = 39.0

a = 7.1702 Å, b = 7.1702 Å, c = 7.2432 Å
α = 90.00°, β = 90.00°, γ = 108.11°
Positions (direct):
Pm: 0.1918 0.1918 0.0000
Pm: 0.1918 0.1918 0.5000
Pm: 0.8082 0.8082 0.0000
Pm: 0.8082 0.8082 0.5000
Sm: 0.2229 0.7771 0.7500
Sm: 0.7771 0.2229 0.2500
Dy: 0.4883 0.5117 0.7500
Dy: 0.5117 0.4883 0.2500
Ho: 0.2337 0.7663 0.2500
Ho: 0.7663 0.2337 0.7500

=====

Record 2
First-principles (PBE-GGA) data for crystalline Pm2Sm4DyHo at its relaxed geometry, as listed in Alexandria via LeMat-Bulk.

Properties
- total magnetic moment (μB/cell) = 0.002
- energy of formation (kJ per mole of atoms) = 38.7

a = 9.5562 Å, b = 9.5562 Å, c = 6.8669 Å
α = 111.03°, β = 111.03°, γ = 87.93°
Positions (direct):
Pm: 0.0000 0.0000 0.0000
Pm: 0.0000 0.0000 0.5000
Pm: 0.0000 0.5000 0.0000
Pm: 0.5000 0.0000 0.5000
Sm: 0.2404 0.7344 0.4877
Sm: 0.2496 0.2544 0.5406
Sm: 0.2544 0.2496 0.0406
Sm: 0.2656 0.7596 0.0123
Sm: 0.7344 0.2404 0.9877
Sm: 0.7456 0.7504 0.9594
Sm: 0.7504 0.7456 0.4594
Sm: 0.7596 0.2656 0.5123
Dy: 0.5000 0.5000 0.0000
Dy: 0.5000 0.5000 0.5000
Ho: 0.0000 0.5000 0.5000
Ho: 0.5000 0.0000 0.0000